[1]
DFT (PBE) results for a relaxed InBiPb2O6 crystal.

Summary:
Formation energy without anion corrections: -1.10 eV per atom

The structure in POSCAR format:
```
InBiPb2O6
1.0
5.906 0.000 -0.015
0.000 6.041 0.000
0.031 0.000 8.480
In Bi Pb O
2 2 4 12
Cartesian
2.953 0.000 -0.007
0.016 3.021 4.240
2.969 0.000 4.233
0.000 3.021 0.000
0.030 5.804 2.174
2.999 3.258 6.406
5.908 0.238 6.292
2.939 2.783 2.059
1.799 4.200 0.294
4.768 4.862 4.527
4.139 1.842 8.171
1.170 1.179 3.938
1.793 4.284 3.829
4.762 4.778 8.062
4.145 1.758 4.636
1.176 1.263 0.403
5.394 3.203 2.087
2.456 5.859 6.334
0.544 2.838 6.378
3.481 0.183 2.131
```

[2]
DFT (PBE) results for a relaxed NdMg3Cu crystal.

Summary:
N(E_F): 3.23 states/eV/f.u.
Calculated formation energy: -22 meV/atom

The structure in POSCAR format:
```
NdMg3Cu
1.0
4.720 0.000 0.000
0.000 4.814 0.000
0.000 -2.407 5.323
Nd Mg Cu
1 3 1
Cartesian
2.360 0.000 0.373
0.000 2.407 0.464
0.000 0.000 2.796
2.360 2.407 2.536
2.360 0.000 4.053
```

no.,E_tot (eV/atom),mass density (Mg/m³),total magnetization (Bohr magnetons per cell)
1,-5.48,9.156,0.00
2,-2.75,3.854,0.00